(1)
Here is PbSe3 after structural relaxation from Alexandria. Energies are from GGA-PBE.

Results
electronic total energy: -13.508 eV for the cell shown
uncorrected formation energy: 164 meV per atom
size of the total moment: 0.00 Bohr magnetons per cell
symmetry: P4/mmm

a b c (Å): 5.1047 5.1047 3.6774
angles (deg): 90.00 90.00 90.00
Fractional positions:
Pb (0.0000, 0.0000, 0.0000)
Se (0.0000, 0.5000, 0.5000)
Se (0.5000, 0.0000, 0.5000)
Se (0.5000, 0.5000, 0.0000)


(2)
Here is Ni3IrPt after structural relaxation from Alexandria. Energies are from GGA-PBE.

Results
electronic total energy: -25.402 eV for the cell shown
size of the total moment: 1.92 Bohr magnetons per cell
ΔH_f (0 K): 6.84 eV/f.u.
symmetry: Pm-3m

a b c (Å): 4.4508 4.4508 4.4508
angles (deg): 90.00 90.00 90.00
Fractional positions:
Ni (0.0000, 0.0000, 0.5000)
Ni (0.0000, 0.5000, 0.0000)
Ni (0.5000, 0.0000, 0.0000)
Ir (0.0000, 0.0000, 0.0000)
Pt (0.5000, 0.5000, 0.5000)


(3)
Here is MgWCl2 after structural relaxation from Alexandria. Energies are from GGA-PBE.

Results
electronic total energy: -15.613 eV for the cell shown
uncorrected formation energy: 657 meV per atom
size of the total moment: 0.00 Bohr magnetons per cell
symmetry: P4/mmm

a b c (Å): 4.7186 4.7186 2.9938
angles (deg): 90.00 90.00 90.00
Fractional positions:
Mg (0.0000, 0.0000, 0.0000)
W (0.5000, 0.5000, 0.0000)
Cl (0.0000, 0.5000, 0.5000)
Cl (0.5000, 0.0000, 0.5000)